[1]
## Zn2CdIn2Au5 (GGA-PBE)

Data for a relaxed structure of Zn2CdIn2Au5.

V ... 19.81 Å³/atom
Energy relative to the elements ... -0.12 eV per atom

a b c (Å): 10.2175 10.2175 3.7943
angles (deg): 90.00 90.00 90.00
Last column: nearest neighbours and their distance in Å.
Space group P4/mbm (No. 127)
Symmetry-distinct sites (fractional):
Zn  0.1365  0.3635  0.0000 [4 per cell]  1 In 2.72, 6 Au 2.74
Cd  0.0000  0.0000  0.0000 [2 per cell]  8 Au 2.89
In  0.1753  0.6753  0.0000 [4 per cell]  1 Zn 2.72, 4 Au 2.96
Au  0.0000  0.5000  0.5000 [2 per cell]  4 Zn 2.74, 4 Au 2.94
Au  0.0168  0.2123  0.5000 [8 per cell]  2 Zn 2.74, 2 Cd 2.89, 1 Au 2.94, 2 In 2.96

***

[2]
## PrGdSn2 (GGA-PBE)

Data for a relaxed structure of PrGdSn2.

V ... 28.08 Å³/atom
Energy relative to the elements ... -0.69 eV per atom

a b c (Å): 3.5128 3.5128 9.1016
angles (deg): 90.00 90.00 90.00
Last column: nearest neighbours and their distance in Å.
Space group P4/mmm (No. 123)
Symmetry-distinct sites (fractional):
Pr  0.0000  0.0000  0.0000 [1 per cell]  8 Sn 3.41, 4 Pr 3.51
Gd  0.0000  0.0000  0.5000 [1 per cell]  8 Sn 3.33, 4 Gd 3.51
Sn  0.5000  0.5000  0.2559 [2 per cell]  4 Gd 3.33, 4 Pr 3.41, 4 Sn 3.51

***

[3]
## Nd5Os2Au (GGA-PBE)

Data for a relaxed structure of Nd5Os2Au.

V ... 26.87 Å³/atom
Energy relative to the elements ... -0.28 eV per atom

a b c (Å): 7.9227 7.9227 13.6960
angles (deg): 90.00 90.00 90.00
Last column: nearest neighbours and their distance in Å.
Space group I4/mcm (No. 140)
Symmetry-distinct sites (fractional):
Nd  0.0000  0.0000  0.0000 [4 per cell]  4 Os 3.08, 2 Au 3.42
Nd  0.1636  0.3364  0.1352 [16 per cell]  3 Os 2.92-3.01
Os  0.1347  0.3653  0.5000 [8 per cell]  8 Nd 2.92-3.08, 1 Os 3.02
Au  0.0000  0.0000  0.2500 [4 per cell]  10 Nd 3.36-3.42

***

[4]
## Ga2AsI8 (GGA-PBE)

Data for a relaxed structure of Ga2AsI8.

V ... 51.70 Å³/atom
ΔE_f (raw) ... -0.33 eV per atom

a b c (Å): 13.1361 11.3296 7.6440
angles (deg): 90.00 90.94 90.00
Last column: nearest neighbours and their distance in Å.
Space group C2/m (No. 12)
Symmetry-distinct sites (fractional):
Ga  0.2198  0.0000  0.3195 [4 per cell]  4 I 2.53-2.67
As  0.0000  0.0000  0.0000 [2 per cell]  4 I 2.86
I  0.1011  0.5000  0.7976 [4 per cell]  1 Ga 2.53
I  0.1128  0.1793  0.1824 [8 per cell]  1 Ga 2.67, 1 As 2.86
I  0.2046  0.0000  0.6503 [4 per cell]  1 Ga 2.54

***

[5]
## Tb4PmPr2Y2 (GGA-PBE)

Data for a relaxed structure of Tb4PmPr2Y2.

V ... 33.28 Å³/atom
Energy relative to the elements ... 0.00 eV per atom

a b c (Å): 18.8932 3.6413 9.6668
angles (deg): 90.00 115.73 90.00
Last column: nearest neighbours and their distance in Å.
Space group C2/m (No. 12)
Symmetry-distinct sites (fractional):
Tb  0.0191  0.0000  0.3354 [4 per cell]  4 Y 3.54-3.63, 5 Tb 3.56-3.64, 1 Pr 3.60, 2 Pm 3.60
Tb  0.1857  0.5000  0.3365 [4 per cell]  3 Y 3.53-3.65, 6 Tb 3.54-3.64, 2 Pr 3.60, 1 Pm 3.60
Pm  0.0000  0.5000  0.0000 [2 per cell]  6 Tb 3.60, 4 Pr 3.63, 2 Pm 3.64
Pr  0.1662  0.0000  0.0005 [4 per cell]  3 Tb 3.60, 3 Y 3.62, 2 Pm 3.63, 4 Pr 3.64-3.66
Y  0.1467  0.5000  0.6625 [4 per cell]  7 Tb 3.53-3.65, 3 Pr 3.62, 2 Y 3.64

***

[6]
## LiCd5Pt3 (GGA-PBE)

Data for a relaxed structure of LiCd5Pt3.

V ... 18.49 Å³/atom
Energy relative to the elements ... -0.28 eV per atom

a b c (Å): 8.2139 8.2139 5.6969
angles (deg): 90.00 90.00 120.00
Last column: nearest neighbours and their distance in Å.
Space group P6_3/mcm (No. 193)
Symmetry-distinct sites (fractional):
Li  0.0000  0.0000  0.0000 [2 per cell]  2 Li 2.85, 6 Cd 2.88
Cd  0.0000  0.3043  0.2500 [6 per cell]  5 Pt 2.73-2.88, 2 Li 2.88
Cd  0.3333  0.6667  0.0000 [4 per cell]  2 Cd 2.85, 6 Pt 3.01
Pt  0.0000  0.3555  0.7500 [6 per cell]  9 Cd 2.73-3.01

***

[7]
## Pa8Si (GGA-PBE)

Data for a relaxed structure of Pa8Si.

V ... 23.62 Å³/atom
ΔE_f (raw) ... -0.12 eV per atom

a b c (Å): 9.6340 9.6340 4.5812
angles (deg): 90.00 90.00 90.00
Last column: nearest neighbours and their distance in Å.
Space group I4/mmm (No. 139)
Symmetry-distinct sites (fractional):
Pa  0.0000  0.3230  0.0000 [8 per cell]  1 Si 3.11, 11 Pa 3.18-3.41
Pa  0.1572  0.1572  0.5000 [8 per cell]  8 Pa 3.03-3.31, 2 Si 3.14
Si  0.0000  0.0000  0.0000 [2 per cell]  12 Pa 3.11-3.14

***

[8]
## AgPdPb (GGA-PBE)

Data for a relaxed structure of AgPdPb.

V ... 20.51 Å³/atom
Energy above the most stable polymorph in this dataset ... 0.000 eV/f.u.
Energy relative to the elements ... -0.12 eV per atom

a b c (Å): 4.5950 9.5248 5.6228
angles (deg): 90.00 90.00 90.00
Last column: nearest neighbours and their distance in Å.
Space group Cmcm (No. 63)
Symmetry-distinct sites (fractional):
Ag  0.0000  0.0000  0.0000 [4 per cell]  2 Ag 2.81, 4 Pd 2.86
Pd  0.0000  0.3981  0.2500 [4 per cell]  4 Ag 2.86, 5 Pb 2.88-2.97
Pb  0.0000  0.2994  0.7500 [4 per cell]  5 Pd 2.88-2.97, 2 Ag 3.18

***

[9]
## CrRu2W (GGA-PBE)

Data for a relaxed structure of CrRu2W.

V ... 14.24 Å³/atom
Energy above the most stable polymorph in this dataset ... 0.973 eV/f.u.
Energy relative to the elements ... 0.32 eV per atom

a b c (Å): 6.1078 6.1078 6.1078
angles (deg): 90.00 90.00 90.00
Last column: nearest neighbours and their distance in Å.
Space group F-43m (No. 216)
Symmetry-distinct sites (fractional):
Cr  0.0000  0.0000  0.0000 [4 per cell]  4 Ru 2.64, 4 W 2.64
Ru  0.0000  0.0000  0.5000 [4 per cell]  4 W 2.64, 4 Ru 2.64
Ru  0.2500  0.2500  0.2500 [4 per cell]  4 Ru 2.64, 4 Cr 2.64
W  0.2500  0.2500  0.7500 [4 per cell]  4 Cr 2.64, 4 Ru 2.64

***

[10]
## LiZn2Cl (GGA-PBE)

Data for a relaxed structure of LiZn2Cl.

V ... 19.44 Å³/atom
Energy above the most stable polymorph in this dataset ... 1.352 eV/f.u.
ΔE_f (raw) ... -0.23 eV per atom

a b c (Å): 3.4585 5.4993 8.1788
angles (deg): 90.00 90.00 90.00
Last column: nearest neighbours and their distance in Å.
Space group Cmmm (No. 65)
Symmetry-distinct sites (fractional):
Li  0.0000  0.0000  0.0000 [2 per cell]  4 Zn 2.71
Zn  0.0000  0.5000  0.2554 [4 per cell]  2 Cl 2.64, 2 Li 2.71
Cl  0.0000  0.0000  0.5000 [2 per cell]  4 Zn 2.64

***

[11]
## ReC2 (GGA-PBE)

Data for a relaxed structure of ReC2.

V ... 15.94 Å³/atom
Energy above the most stable polymorph in this dataset ... 2.851 eV/f.u.
Energy relative to the elements ... 1.39 eV per atom

a b c (Å): 3.1888 3.1888 10.8619
angles (deg): 90.00 90.00 120.00
Last column: nearest neighbours and their distance in Å.
Space group P6_3/mmc (No. 194)
Symmetry-distinct sites (fractional):
Re  0.0000  0.0000  0.2500 [2 per cell]  6 C 2.05
C  0.3333  0.6667  0.1674 [4 per cell]  1 C 1.79

***

[12]
## La2Tb3Ho4 (GGA-PBE)

Data for a relaxed structure of La2Tb3Ho4.

V ... 33.14 Å³/atom
Energy above the most stable polymorph in this dataset ... 0.000 eV/f.u.
Energy relative to the elements ... 0.05 eV per atom

a b c (Å): 3.6032 3.6032 26.5276
angles (deg): 90.00 90.00 120.00
Last column: nearest neighbours and their distance in Å.
Space group P3m1 (No. 156)
Symmetry-distinct sites (fractional):
La  0.0000  0.0000  0.0000 [1 per cell]  6 La 3.60, 3 Ho 3.63, 3 Tb 3.71
La  0.0000  0.0000  0.2264 [1 per cell]  1 Ho 3.49, 3 Tb 3.60, 6 La 3.60
Tb  0.0000  0.0000  0.7816 [1 per cell]  6 Ho 3.50-3.51, 6 Tb 3.60
Tb  0.3333  0.6667  0.1159 [1 per cell]  6 La 3.60-3.71, 6 Tb 3.60
Tb  0.3333  0.6667  0.4627 [1 per cell]  6 Ho 3.47-3.52, 6 Tb 3.60
Ho  0.0000  0.0000  0.3580 [1 per cell]  3 Tb 3.47, 1 La 3.49, 6 Ho 3.60
Ho  0.0000  0.0000  0.5699 [1 per cell]  9 Ho 3.48-3.60, 3 Tb 3.52
Ho  0.3333  0.6667  0.6749 [1 per cell]  9 Ho 3.48-3.60, 3 Tb 3.51
Ho  0.3333  0.6667  0.8878 [1 per cell]  3 Tb 3.50, 6 Ho 3.60, 3 La 3.63

***

Which of these has the lowest V? CrRu2W